Record 1
A geometry-optimized AgOs2Cl8 structure, computed with PBE.

Values from the calculation:
Mass density in g/cm³: 3.50
E above lowest polymorph in meV/atom: 136
Formation energy from raw total energies in eV per formula unit: -0.902

Cell: 13.159 8.545 6.702 Å, 90.00 103.36 90.00°
Space group C2/m (No. 12)
Symmetry-distinct sites (fractional):
Ag1 0.000 0.000 0.000 (multiplicity 2)
Os1 0.202 0.000 0.669 (multiplicity 4)
Cl1 0.112 0.186 0.790 (multiplicity 8)
Cl2 0.125 0.500 0.230 (multiplicity 4)
Cl3 0.185 0.000 0.332 (multiplicity 4)

---

Record 2
A geometry-optimized PmAg2BiO4 structure, computed with PBE.

Values from the calculation:
Mass density in g/cm³: 7.87
Formation energy from raw total energies in eV per formula unit: -10.806

Cell: 8.851 11.001 6.944 Å, 90.00 127.74 90.00°
Space group C2/c (No. 15)
Symmetry-distinct sites (fractional):
Pm1 0.250 0.250 0.000 (multiplicity 4)
Ag1 0.000 0.000 0.000 (multiplicity 4)
Ag2 0.250 0.250 0.500 (multiplicity 4)
Bi1 0.000 0.500 0.000 (multiplicity 4)
O1 0.039 0.279 0.562 (multiplicity 8)
O2 0.232 0.467 0.941 (multiplicity 8)

---

Record 3
A geometry-optimized TbLuZnTc structure, computed with PBE.

Values from the calculation:
Mass density in g/cm³: 10.01
Energy of formation from the pure elements in meV per atom: -167

Cell: 6.910 6.910 6.910 Å, 90.00 90.00 90.00°
Space group F-43m (No. 216)
Symmetry-distinct sites (fractional):
Tb1 0.000 0.000 0.000 (multiplicity 4)
Lu1 0.000 0.000 0.500 (multiplicity 4)
Zn1 0.250 0.250 0.250 (multiplicity 4)
Tc1 0.250 0.250 0.750 (multiplicity 4)

---

| no. | magnetization (μB/f.u.) |
| --- | --- |
| 1 | 0.916 |
| 2 | 0.000 |
| 3 | 0.000 |